Record 1
! Rb2LaPO PBE relaxed; values from VASP
&SYSTEM
  ibrav = 0, nat = 5, ntyp = 4
/
ATOMIC_SPECIES
P 30.97 P.upf
O 16.00 O.upf
La 138.91 La.upf
Rb 85.47 Rb.upf
CELL_PARAMETERS angstrom
5.345 0.000 0.000
0.000 5.345 0.000
0.000 0.000 4.821
ATOMIC_POSITIONS crystal
P 0.500 0.500 0.500
O 0.000 0.000 0.000
La 0.000 0.000 0.500
Rb 0.500 0.000 0.000
Rb 0.000 0.500 0.000
! E_tot in eV/atom: -4.40
! SG: P4/mmm, No. 123

=====

Record 2
! Rb2AgSnH6 PBE relaxed; values from VASP
&SYSTEM
  ibrav = 0, nat = 10, ntyp = 4
/
ATOMIC_SPECIES
Rb 85.47 Rb.upf
H 1.01 H.upf
Ag 107.87 Ag.upf
Sn 118.71 Sn.upf
CELL_PARAMETERS angstrom
-4.498 3.762 -0.586
-2.657 -2.445 4.658
-1.628 3.384 4.578
ATOMIC_POSITIONS crystal
Rb 0.250 0.750 0.500
Rb 0.750 0.250 0.500
H 0.750 0.750 0.999
H 0.250 0.750 0.000
H 0.753 0.753 0.496
H 0.247 0.247 0.504
H 0.250 0.250 0.001
H 0.750 0.250 0.000
Ag 0.500 0.500 0.000
Sn 0.000 0.000 0.000
! E_tot in eV/atom: -2.86
! SG: I4/mmm, No. 139

=====

Record 3
! Sr4Pt PBE relaxed; values from VASP
&SYSTEM
  ibrav = 0, nat = 10, ntyp = 2
/
ATOMIC_SPECIES
Sr 87.62 Sr.upf
Pt 195.08 Pt.upf
CELL_PARAMETERS angstrom
0.000 6.285 6.285
6.285 0.000 6.285
6.285 6.285 0.000
ATOMIC_POSITIONS crystal
Sr 0.870 0.391 0.870
Sr 0.380 0.859 0.380
Sr 0.870 0.870 0.870
Sr 0.870 0.870 0.391
Sr 0.859 0.380 0.380
Sr 0.380 0.380 0.380
Sr 0.380 0.380 0.859
Sr 0.391 0.870 0.870
Pt 0.000 0.000 0.000
Pt 0.250 0.250 0.250
! E_tot in eV/atom: -2.73
! Energy of formation from the pure elements in eV per formula unit: -0.9
! SG: Fd-3m, No. 227

=====

Number 1: total moment 0.0 μB/f.u.. Number 2: total moment 0.0 μB/f.u.. Number 3: total moment 0.0 μB/f.u..